No. 1
YLuMgNi, relaxed, DFT PBE-GGA; energy relative to the lowest polymorph listed for this composition = 0.0000 eV/atom
1.0
7.093 0.000 0.000
0.000 7.093 0.000
0.000 0.000 7.093
Y Lu Mg Ni
4 4 4 4
Cartesian
0.000 0.000 0.000
0.000 3.547 3.547
3.547 0.000 3.547
3.547 3.547 0.000
0.000 0.000 3.547
0.000 3.547 0.000
3.547 0.000 0.000
3.547 3.547 3.547
1.773 1.773 1.773
1.773 5.320 5.320
5.320 1.773 5.320
5.320 5.320 1.773
1.773 1.773 5.320
1.773 5.320 1.773
5.320 1.773 1.773
5.320 5.320 5.320

No. 2
ZrTa2In, relaxed, DFT PBE-GGA; DFT total energy = -8.65 eV per atom
1.0
6.831 0.000 0.000
0.000 6.831 0.000
0.000 0.000 6.831
Zr Ta In
4 8 4
Cartesian
0.000 0.000 0.000
0.000 3.415 3.415
3.415 0.000 3.415
3.415 3.415 0.000
0.000 0.000 3.415
0.000 3.415 0.000
1.708 1.708 1.708
1.708 5.123 5.123
3.415 0.000 0.000
3.415 3.415 3.415
5.123 1.708 5.123
5.123 5.123 1.708
1.708 1.708 5.123
1.708 5.123 1.708
5.123 1.708 1.708
5.123 5.123 5.123

No. 3
Nd2Gd, relaxed, DFT PBE-GGA; ΔE_f = 0.69 eV/atom; energy relative to the lowest polymorph listed for this composition = 0.4364 eV/atom
1.0
7.831 0.000 0.000
0.000 7.831 0.000
0.000 0.000 7.831
Nd Gd
8 4
Cartesian
1.958 1.958 1.958
1.958 1.958 5.874
1.958 5.874 1.958
1.958 5.874 5.874
5.874 1.958 1.958
5.874 1.958 5.874
5.874 5.874 1.958
5.874 5.874 5.874
0.000 0.000 0.000
0.000 3.916 3.916
3.916 0.000 3.916
3.916 3.916 0.000

No. 4
YMgAlCo, relaxed, DFT PBE-GGA; energy relative to the lowest polymorph listed for this composition = 0.0000 eV/atom
1.0
6.591 0.000 0.000
0.000 6.591 0.000
0.000 0.000 6.591
Y Mg Al Co
4 4 4 4
Cartesian
0.000 0.000 0.000
0.000 3.296 3.296
3.296 0.000 3.296
3.296 3.296 0.000
1.648 1.648 1.648
1.648 4.943 4.943
4.943 1.648 4.943
4.943 4.943 1.648
0.000 0.000 3.296
0.000 3.296 0.000
3.296 0.000 0.000
3.296 3.296 3.296
1.648 1.648 4.943
1.648 4.943 1.648
4.943 1.648 1.648
4.943 4.943 4.943

No. 5
RbUTlS3, relaxed, DFT PBE-GGA; DFT total energy = -5.55 eV per atom
1.0
2.029 -8.265 0.000
2.029 8.265 0.000
0.000 0.000 11.625
Rb U Tl S
2 2 2 6
Cartesian
2.029 5.410 8.719
2.029 -5.410 2.906
2.029 0.000 0.000
2.029 0.000 5.812
2.029 6.149 2.906
2.029 -6.149 8.719
2.029 6.524 5.853
2.029 6.524 11.584
2.029 0.027 8.719
2.029 -0.027 2.906
2.029 -6.524 0.041
2.029 -6.524 5.771

No. 6
FeAgMoAs, relaxed, DFT PBE-GGA; energy relative to the lowest polymorph listed for this composition = 0.0000 eV/atom
1.0
6.215 0.000 0.000
0.000 6.215 0.000
0.000 0.000 6.215
Fe Ag Mo As
4 4 4 4
Cartesian
0.000 0.000 0.000
0.000 3.107 3.107
3.107 0.000 3.107
3.107 3.107 0.000
1.554 1.554 1.554
1.554 4.661 4.661
4.661 1.554 4.661
4.661 4.661 1.554
0.000 0.000 3.107
0.000 3.107 0.000
3.107 0.000 0.000
3.107 3.107 3.107
1.554 1.554 4.661
1.554 4.661 1.554
4.661 1.554 1.554
4.661 4.661 4.661